{"formula": "Mn2TcRu", "functional": "PBE", "state": "relaxed", "e_tot_ev_per_atom": -9.35, "total_magnetization_mub_per_fu": 0.00, "delta_e_f_ev_per_fu": 0.582, "space_group": "P4mm", "lattice_angstrom": [[2.9164, 0.0000, 0.0000], [0.0000, 2.9164, 0.0000], [0.0000, 0.0000, 5.9688]], "species": ["Mn", "Mn", "Ru", "Tc"], "fractional_positions": [[0.0000, 0.0000, 0.0474], [0.5000, 0.5000, 0.2014], [0.0000, 0.0000, 0.4863], [0.5000, 0.5000, 0.7648]]}

{"formula": "YTaTc2", "functional": "PBE", "state": "relaxed", "e_tot_ev_per_atom": -9.45, "total_magnetization_mub_per_fu": 0.00, "delta_e_f_ev_per_fu": 1.257, "space_group": "Pmm2", "lattice_angstrom": [[3.1857, 0.0000, 0.0000], [0.0000, 4.0092, 0.0000], [0.0000, 0.0000, 6.1470]], "species": ["Ta", "Tc", "Tc", "Y"], "fractional_positions": [[0.5000, 0.5000, 0.8358], [0.0000, 0.0000, 0.9770], [0.5000, 0.5000, 0.2221], [0.0000, 0.0000, 0.4651]]}

{"formula": "MgScZn17", "functional": "PBE", "state": "relaxed", "e_tot_ev_per_atom": -1.65, "total_magnetization_mub_per_fu": 0.00, "delta_e_f_ev_per_fu": -1.694, "space_group": "R3m", "lattice_angstrom": [[-5.6623, -3.0284, 2.0786], [2.8325, -4.3227, 4.3410], [-0.9452, 3.6177, 5.6189]], "species": ["Mg", "Sc", "Zn", "Zn", "Zn", "Zn", "Zn", "Zn", "Zn", "Zn", "Zn", "Zn", "Zn", "Zn", "Zn", "Zn", "Zn", "Zn", "Zn"], "fractional_positions": [[0.3634, 0.3634, 0.3634], [0.6639, 0.6639, 0.6639], [0.3030, 0.0007, 0.6899], [0.6899, 0.3030, 0.0007], [0.0007, 0.6899, 0.3030], [0.3030, 0.6899, 0.0007], [0.0007, 0.3030, 0.6899], [0.6899, 0.0007, 0.3030], [0.3517, 0.8362, 0.3517], [0.3517, 0.3517, 0.8362], [0.8362, 0.3517, 0.3517], [0.6490, 0.1601, 0.6490], [0.6490, 0.6490, 0.1601], [0.1601, 0.6490, 0.6490], [0.9926, 0.4995, 0.9926], [0.9926, 0.9926, 0.4995], [0.4995, 0.9926, 0.9926], [0.8982, 0.8982, 0.8982], [0.1049, 0.1049, 0.1049]]}

{"formula": "EuIn2", "functional": "PBE", "state": "relaxed", "e_tot_ev_per_atom": -5.59, "total_magnetization_mub_per_fu": 7.20, "delta_e_f_ev_per_fu": -1.011, "space_group": "I4/mmm", "lattice_angstrom": [[-0.9464, 1.7772, -3.0817], [2.4660, -1.9707, -1.8938], [-5.1714, -4.2930, 1.3111]], "species": ["Eu", "In", "In"], "fractional_positions": [[0.0000, 0.0000, 0.0000], [0.6780, 0.6780, 0.3559], [0.3220, 0.3220, 0.6441]]}

{"formula": "Er2AlPd6", "functional": "PBE", "state": "relaxed", "e_tot_ev_per_atom": -5.53, "total_magnetization_mub_per_fu": 0.00, "delta_e_f_ev_per_fu": -5.742, "space_group": "C2/m", "lattice_angstrom": [[3.6199, 0.0000, -0.1383], [0.0000, 7.4656, 0.0000], [-1.5650, -3.7328, 6.5402]], "species": ["Er", "Er", "Al", "Pd", "Pd", "Pd", "Pd", "Pd", "Pd"], "fractional_positions": [[0.6473, 0.6511, 0.3023], [0.3527, 0.3489, 0.6977], [0.0000, 0.0000, 0.0000], [0.1638, 0.3701, 0.3308], [0.8362, 0.0393, 0.6692], [0.8362, 0.6299, 0.6692], [0.5000, 0.2244, 0.0000], [0.1638, 0.9607, 0.3308], [0.5000, 0.7756, 0.0000]]}

{"formula": "PmHo3Tm2", "functional": "PBE", "state": "relaxed", "e_tot_ev_per_atom": -4.56, "relative_energy_mev_per_atom": 10.1, "total_magnetization_mub_per_fu": 0.00, "delta_e_f_ev_per_fu": 0.040, "space_group": "C2/m", "lattice_angstrom": [[-1.3517, -0.0810, -3.3494], [8.6002, -6.3680, -3.3167], [-8.4959, -4.4790, 5.4852]], "species": ["Pm", "Pm", "Ho", "Ho", "Ho", "Ho", "Ho", "Ho", "Tm", "Tm", "Tm", "Tm"], "fractional_positions": [[0.3893, 0.0134, 0.7785], [0.6107, 0.9866, 0.2215], [0.2781, 0.1551, 0.5563], [0.0549, 0.6779, 0.1098], [0.3878, 0.5133, 0.7755], [0.7219, 0.8449, 0.4437], [0.6122, 0.4867, 0.2245], [0.9451, 0.3221, 0.8902], [0.2772, 0.6503, 0.5545], [0.7228, 0.3497, 0.4455], [0.9431, 0.8157, 0.8862], [0.0569, 0.1843, 0.1138]]}

{"formula": "La2PuGa4Au3", "functional": "PBE", "state": "relaxed", "e_tot_ev_per_atom": -5.15, "total_magnetization_mub_per_fu": 5.90, "delta_e_f_ev_per_fu": -5.380, "space_group": "P-4m2", "lattice_angstrom": [[-0.9656, 0.2592, 4.3169], [2.2443, -3.7509, 0.7272], [9.7889, 6.2091, 1.8167]], "species": ["La", "La", "Pu", "Ga", "Ga", "Ga", "Ga", "Au", "Au", "Au"], "fractional_positions": [[0.5000, 0.0000, 0.2343], [0.0000, 0.5000, 0.7657], [0.5000, 0.5000, 0.5000], [0.5000, 0.5000, 0.0000], [0.0000, 0.0000, 0.0000], [0.5000, 0.0000, 0.6633], [0.0000, 0.5000, 0.3367], [0.0000, 0.0000, 0.5000], [0.5000, 0.0000, 0.8782], [0.0000, 0.5000, 0.1218]]}

{"formula": "PmPrRe4", "functional": "PBE", "state": "relaxed", "e_tot_ev_per_atom": -9.83, "total_magnetization_mub_per_fu": 0.00, "delta_e_f_ev_per_fu": 0.345, "space_group": "F-43m", "lattice_angstrom": [[5.5092, 0.0000, 0.0000], [2.7546, 4.7711, 0.0000], [2.7546, 1.5904, 4.4982]], "species": ["Pr", "Re", "Re", "Re", "Re", "Pm"], "fractional_positions": [[0.2500, 0.2500, 0.2500], [0.6251, 0.6251, 0.1248], [0.6251, 0.1248, 0.6251], [0.6251, 0.6251, 0.6251], [0.1248, 0.6251, 0.6251], [0.0000, 0.0000, 0.0000]]}

{"formula": "TaGeS2N", "functional": "PBE", "state": "relaxed", "formation_energy_uncorrected_mev_per_atom": -100, "e_tot_ev_per_atom": -6.71, "relative_energy_mev_per_atom": 0.0, "total_magnetization_mub_per_fu": 0.00, "space_group": "P4/mmm", "lattice_angstrom": [[-0.5277, -4.5188, -1.8981], [4.6609, -1.0532, 1.2116], [-1.1983, -1.3159, 3.4659]], "species": ["Ge", "N", "S", "S", "Ta"], "fractional_positions": [[0.5000, 0.5000, 0.5000], [0.0000, 0.0000, 0.5000], [0.0000, 0.5000, 0.0000], [0.5000, 0.0000, 0.0000], [0.0000, 0.0000, 0.0000]]}

{"formula": "Hf2TlBr", "functional": "PBE", "state": "relaxed", "formation_energy_uncorrected_mev_per_atom": 375, "e_tot_ev_per_atom": -5.61, "relative_energy_mev_per_atom": 196.0, "total_magnetization_mub_per_fu": 0.00, "space_group": "I-42d", "lattice_angstrom": [[4.3545, 0.0000, 0.0000], [0.0000, 4.3545, 0.0000], [2.1773, 2.1773, 10.5327]], "species": ["Tl", "Tl", "Hf", "Hf", "Hf", "Hf", "Br", "Br"], "fractional_positions": [[0.0000, 0.0000, 0.0000], [0.7500, 0.2500, 0.5000], [0.6319, 0.1250, 0.2500], [0.1181, 0.6250, 0.2500], [0.3750, 0.3681, 0.7500], [0.8750, 0.8819, 0.7500], [0.5000, 0.5000, 0.0000], [0.2500, 0.7500, 0.5000]]}

{"formula": "PmCuBi", "functional": "PBE", "state": "relaxed", "e_tot_ev_per_atom": -4.48, "relative_energy_mev_per_atom": 241.9, "total_magnetization_mub_per_fu": 0.00, "delta_e_f_ev_per_fu": -0.710, "space_group": "I4mm", "lattice_angstrom": [[-0.7843, -3.4713, 0.4465], [2.4645, -0.8726, -2.4553], [3.1747, 1.8003, 5.1664]], "species": ["Bi", "Cu", "Pm"], "fractional_positions": [[0.6896, 0.6896, 0.3793], [0.3326, 0.3326, 0.6652], [0.9778, 0.9778, 0.9556]]}

{"formula": "TaCrFe2", "functional": "PBE", "state": "relaxed", "e_tot_ev_per_atom": -9.45, "total_magnetization_mub_per_fu": 3.27, "delta_e_f_ev_per_fu": 0.599, "space_group": "Cmmm", "lattice_angstrom": [[2.6167, 0.0154, 0.0000], [-0.7523, 2.5062, 0.0000], [0.0000, 0.0000, 8.0020]], "species": ["Cr", "Fe", "Fe", "Ta"], "fractional_positions": [[0.5000, 0.5000, 0.7500], [0.0000, 0.0000, 0.9803], [0.0000, 0.0000, 0.5197], [0.5000, 0.5000, 0.2500]]}